(1)
The following is a DFT calculation (GGA-PBE) of a relaxed AlP2O11 crystal.

Output
Uncorrected formation energy ... -0.8294 eV/atom
DOS(E_F) ... 0.226 states/eV per atom
E_tot ... -0.4237 Ry/atom

Lattice parameters (Å, degrees): 9.2078 9.2078 16.7342 90.00 90.00 120.00
With the nearest neighbours (Å) after each atom.
Space group R3 (No. 146, hexagonal axes)
Inequivalent atoms, fractional coordinates:
Al 0.0000 0.0000 0.0000 [3 per cell]  6 O 1.83-1.93
Al 0.0000 0.0000 0.2614 [3 per cell]  6 O 1.85-1.94
P 0.0000 0.0000 0.6317 [3 per cell]  4 O 1.53-1.56
P 0.0826 0.3936 0.7967 [9 per cell]  4 O 1.52-1.57
O 0.0000 0.0000 0.5386 [3 per cell]  1 P 1.56
O 0.0107 0.1782 0.2053 [9 per cell]  1 P 1.53
O 0.0245 0.8665 0.9179 [9 per cell]  1 Al 1.93
O 0.0657 0.2151 0.8032 [9 per cell]  1 P 1.57
O 0.1121 0.4402 0.1205 [9 per cell]  1 P 1.56
O 0.1601 0.1359 0.3432 [9 per cell]  1 Al 1.94
O 0.1750 0.1380 0.6573 [9 per cell]  1 P 1.53
O 0.1831 0.4798 0.7219 [9 per cell]  1 P 1.52

(2)
The following is a DFT calculation (GGA-PBE) of a relaxed Th3PdSe6 crystal.

Output
Uncorrected formation energy ... -1.5339 eV/atom
E above lowest polymorph ... 0 meV per atom
E_tot ... -0.4682 Ry/atom

Lattice parameters (Å, degrees): 11.4787 14.0443 6.9680 90.00 90.00 90.00
With the nearest neighbours (Å) after each atom.
Space group Cmc2_1 (No. 36)
Inequivalent atoms, fractional coordinates:
Th 0.0000 0.1141 0.0000 [4 per cell]  7 Se 2.91-3.09, 1 Pd 3.19
Th 0.1744 0.3944 0.9105 [8 per cell]  7 Se 2.90-3.10
Pd 0.0000 0.3025 0.2564 [4 per cell]  3 Se 2.52-2.53
Se 0.0000 0.2735 0.7151 [4 per cell]  3 Th 2.96-2.99, 1 Pd 3.22
Se 0.0000 0.4794 0.1860 [4 per cell]  1 Pd 2.53
Se 0.1619 0.0286 0.7065 [8 per cell]  4 Th 2.99-3.09
Se 0.1901 0.2278 0.1540 [8 per cell]  1 Pd 2.52

(3)
The following is a DFT calculation (GGA-PBE) of a relaxed Tm12OsPd6 crystal.

Output
DOS(E_F) ... 0.760 states/eV per atom
ΔH_f (0 K) ... -51.8 kJ/mol of atoms
E_tot ... -0.4110 Ry/atom

Lattice parameters (Å, degrees): 12.4181 12.4181 11.5257 90.00 90.00 120.00
With the nearest neighbours (Å) after each atom.
Space group R-3 (No. 148, hexagonal axes)
Inequivalent atoms, fractional coordinates:
Tm 0.0272 0.2114 0.3901 [18 per cell]  4 Pd 2.77-2.96
Tm 0.0395 0.1999 0.8795 [18 per cell]  1 Os 2.67, 2 Pd 2.85
Os 0.0000 0.0000 0.0000 [3 per cell]  6 Tm 2.67
Pd 0.0416 0.2642 0.6419 [18 per cell]  6 Tm 2.77-2.96

(4)
The following is a DFT calculation (GGA-PBE) of a relaxed MgZr2Ta crystal.

Output
DOS(E_F) ... 1.444 states/eV per atom
ΔH_f (0 K) ... 15.6 kJ/mol of atoms
E_tot ... -0.5493 Ry/atom

Lattice parameters (Å, degrees): 6.5735 8.3242 3.1033 90.00 90.00 90.00
With the nearest neighbours (Å) after each atom.
Space group Cmmm (No. 65)
Inequivalent atoms, fractional coordinates:
Mg 0.0000 0.0000 0.0000 [2 per cell]  8 Zr 3.07, 2 Mg 3.10, 2 Ta 3.29
Zr 0.2500 0.2500 0.5000 [4 per cell]  4 Ta 3.07, 4 Mg 3.07, 4 Zr 3.10-3.29
Ta 0.0000 0.5000 0.0000 [2 per cell]  8 Zr 3.07, 2 Ta 3.10, 2 Mg 3.29

(5)
The following is a DFT calculation (GGA-PBE) of a relaxed Ho3Er2Sc8 crystal.

Output
DOS(E_F) ... 1.461 states/eV per atom
ΔH_f (0 K) ... 24.1 kJ/mol of atoms
E_tot ... -0.3972 Ry/atom

Lattice parameters (Å, degrees): 13.6722 8.6234 6.5914 90.00 108.76 90.00
With the nearest neighbours (Å) after each atom.
Space group C2/m (No. 12)
Inequivalent atoms, fractional coordinates:
Ho 0.0000 0.0000 0.0000 [2 per cell]  6 Sc 2.95-3.19
Ho 0.0000 0.1813 0.5000 [4 per cell]  1 Ho 3.13, 6 Sc 3.17-3.44
Er 0.2309 0.0000 0.4250 [4 per cell]  7 Sc 3.24-3.36, 1 Ho 3.48
Sc 0.0712 0.5000 0.7434 [4 per cell]  6 Sc 3.05-3.32, 2 Ho 3.17, 1 Er 3.24
Sc 0.1197 0.3171 0.1604 [8 per cell]  5 Sc 3.05-3.28, 2 Ho 3.19-3.38, 2 Er 3.25-3.33
Sc 0.1943 0.0000 0.8952 [4 per cell]  1 Ho 2.95, 2 Sc 3.11, 1 Er 3.29

(6)
The following is a DFT calculation (GGA-PBE) of a relaxed La2SbBr crystal.

Output
Uncorrected formation energy ... -1.3627 eV/atom
DOS(E_F) ... 0.510 states/eV per atom
E_tot ... -0.3877 Ry/atom

Lattice parameters (Å, degrees): 8.0013 4.3888 14.8758 90.00 90.00 90.00
With the nearest neighbours (Å) after each atom.
Space group Pnma (No. 62)
Inequivalent atoms, fractional coordinates:
La 0.1555 0.2500 0.2363 [4 per cell]  2 Br 3.04-3.10, 4 Sb 3.26-3.40
La 0.2048 0.7500 0.9989 [4 per cell]  3 Br 3.17-3.25, 3 Sb 3.23-3.31
Sb 0.0991 0.2500 0.8499 [4 per cell]  7 La 3.23-3.40
Br 0.0713 0.7500 0.5947 [4 per cell]  5 La 3.04-3.25

(7)
The following is a DFT calculation (GGA-PBE) of a relaxed K3Al4P2O8F9 crystal.

Output
Uncorrected formation energy ... -3.0213 eV/atom
DOS(E_F) ... 0.000 states/eV per atom
E_tot ... -0.4640 Ry/atom

Lattice parameters (Å, degrees): 6.8255 14.0182 7.3959 90.00 106.19 90.00
With the nearest neighbours (Å) after each atom.
Space group P2_1/m (No. 11)
Inequivalent atoms, fractional coordinates:
K 0.0811 0.2500 0.0413 [2 per cell]  4 F 2.74-2.92, 2 O 2.83
K 0.1849 0.5119 0.2909 [4 per cell]  2 F 2.70-2.88, 3 O 2.87-2.99
Al 0.0277 0.2500 0.5525 [2 per cell]  4 F 1.83-1.86, 2 O 1.86
Al 0.3269 0.6220 0.8183 [4 per cell]  4 F 1.80-1.91, 2 O 1.85-1.86
Al 0.4839 0.7500 0.4624 [2 per cell]  2 O 1.83, 4 F 1.84-1.87
P 0.3490 0.1024 0.7845 [4 per cell]  4 O 1.54-1.56
O 0.1393 0.1544 0.7240 [4 per cell]  1 P 1.56
O 0.3170 0.5014 0.7109 [4 per cell]  1 P 1.55
O 0.4256 0.1054 0.0012 [4 per cell]  1 P 1.54
O 0.4980 0.6503 0.3058 [4 per cell]  1 P 1.54
F 0.0912 0.6556 0.6189 [4 per cell]  2 Al 1.86-1.91
F 0.1522 0.5918 0.9513 [4 per cell]  1 Al 1.80
F 0.2038 0.7500 0.3676 [2 per cell]  2 Al 1.83-1.84
F 0.2342 0.2500 0.4347 [2 per cell]  2 Al 1.85-1.86
F 0.3195 0.7500 0.8884 [2 per cell]  2 Al 1.87
F 0.4735 0.6611 0.6481 [4 per cell]  2 Al 1.87-1.89

(8)
The following is a DFT calculation (GGA-PBE) of a relaxed CsKNiH2 crystal.

Output
DOS(E_F) ... 1.260 states/eV per atom
E_tot ... -0.1363 Ry/atom

Lattice parameters (Å, degrees): 4.5370 4.5370 5.0267 90.00 90.00 90.00
With the nearest neighbours (Å) after each atom.
Space group P4/mmm (No. 123)
Inequivalent atoms, fractional coordinates:
Cs 0.0000 0.0000 0.0000 [1 per cell]  4 Ni 3.21, 8 H 3.39
K 0.5000 0.5000 0.5000 [1 per cell]  4 H 2.27, 2 Ni 2.51
Ni 0.5000 0.5000 0.0000 [1 per cell]  2 K 2.51
H 0.0000 0.5000 0.5000 [2 per cell]  2 K 2.27